TbYPu2P4 PBE relaxed; crystal system = monoclinic; DFT formation energy = -11.11 eV/f.u.; symmetry = P2/m, No. 10; N(E_F) = 2.2169 states/eV/atom
1.0
-3.974 -0.354 -0.455
0.043 -5.667 4.031
-0.946 5.612 3.898
P Pu Y Tb
4 2 1 1
Cartesian
-0.693 2.768 3.894
-0.211 -2.824 4.035
-2.658 -0.245 5.686
-2.219 -0.164 1.788
-0.452 -0.028 3.965
-2.460 2.629 1.721
0.000 0.000 0.000
-1.966 -3.011 1.788